(1)
# Zr2Ga2Cu3 (PBE, relaxed)
data_Zr2Ga2Cu3
_space_group_name_H-M_alt 'C m c m'
_space_group_IT_number 63
_space_group_name_Hall '-C 2c 2'
_cell_length_a 3.950
_cell_length_b 17.692
_cell_length_c 6.609
_cell_angle_alpha 90.00
_cell_angle_beta 90.00
_cell_angle_gamma 90.00
loop_
_atom_site_label
_atom_site_type_symbol
_atom_site_fract_x
_atom_site_fract_y
_atom_site_fract_z
Zr1 Zr 0.000 0.046 0.250
Zr2 Zr 0.000 0.150 0.750
Ga1 Ga 0.000 0.312 0.552
Cu1 Cu 0.000 0.223 0.250
Cu2 Cu 0.000 0.440 0.067
# Relative energy among the computed polymorphs: 0 meV per atom
# Formation energy from the elements: -0.218 eV per atom

***

(2)
# TeMo2Ru (PBE, relaxed)
data_TeMo2Ru
_space_group_name_H-M_alt 'P 4/m m m'
_space_group_IT_number 123
_space_group_name_Hall '-P 4 2'
_cell_length_a 3.083
_cell_length_b 3.083
_cell_length_c 6.972
_cell_angle_alpha 90.00
_cell_angle_beta 90.00
_cell_angle_gamma 90.00
loop_
_atom_site_label
_atom_site_type_symbol
_atom_site_fract_x
_atom_site_fract_y
_atom_site_fract_z
Te1 Te 0.000 0.000 0.000
Mo1 Mo 0.500 0.500 0.258
Ru1 Ru 0.000 0.000 0.500
# Formation energy without anion corrections: 0.292 eV/atom

***

(3)
# LiLaAl2 (PBE, relaxed)
data_LiLaAl2
_space_group_name_H-M_alt 'I -4 2 d'
_space_group_IT_number 122
_space_group_name_Hall 'I -4 2bw'
_cell_length_a 4.817
_cell_length_b 4.817
_cell_length_c 17.955
_cell_angle_alpha 90.00
_cell_angle_beta 90.00
_cell_angle_gamma 90.00
loop_
_atom_site_label
_atom_site_type_symbol
_atom_site_fract_x
_atom_site_fract_y
_atom_site_fract_z
Li1 Li 0.000 0.000 0.000
La1 La 0.000 0.000 0.500
Al1 Al 0.076 0.750 0.125
# Relative energy among the computed polymorphs: 303 meV per atom
# Formation energy from the elements: 0.038 eV per atom

***

(4)
# Gd2FeP (PBE, relaxed)
data_Gd2FeP
_space_group_name_H-M_alt 'R -3 m'
_space_group_IT_number 166
_space_group_name_Hall '-R 3 2"'
_cell_length_a 3.5346
_cell_length_b 3.5346
_cell_length_c 27.6582
_cell_angle_alpha 90.00
_cell_angle_beta 90.00
_cell_angle_gamma 120.00
loop_
_atom_site_label
_atom_site_type_symbol
_atom_site_fract_x
_atom_site_fract_y
_atom_site_fract_z
Gd1 Gd 0.0000 0.0000 0.1002
Fe1 Fe 0.0000 0.0000 0.5000
P1 P 0.0000 0.0000 0.0000
# Formation energy from the elements: 0.388 eV per atom

***

(5)
# K2LaZn (PBE, relaxed)
data_K2LaZn
_space_group_name_H-M_alt 'I -4 m 2'
_space_group_IT_number 119
_space_group_name_Hall 'I -4 -2'
_cell_length_a 5.910
_cell_length_b 5.910
_cell_length_c 8.399
_cell_angle_alpha 90.00
_cell_angle_beta 90.00
_cell_angle_gamma 90.00
loop_
_atom_site_label
_atom_site_type_symbol
_atom_site_fract_x
_atom_site_fract_y
_atom_site_fract_z
K1 K 0.000 0.000 0.000
K2 K 0.000 0.500 0.250
La1 La 0.000 0.500 0.750
Zn1 Zn 0.000 0.000 0.500
# Relative energy among the computed polymorphs: 376 meV per atom
# Formation energy from the elements: 0.442 eV per atom

***

(6)
# PtAu2 (PBE, relaxed)
data_PtAu2
_space_group_name_H-M_alt 'C 1 m 1'
_space_group_IT_number 8
_space_group_name_Hall 'C -2y'
_cell_length_a 10.919
_cell_length_b 2.863
_cell_length_c 6.946
_cell_angle_alpha 90.00
_cell_angle_beta 107.64
_cell_angle_gamma 90.00
loop_
_atom_site_label
_atom_site_type_symbol
_atom_site_fract_x
_atom_site_fract_y
_atom_site_fract_z
Pt1 Pt 0.000 0.000 0.000
Pt2 Pt 0.160 0.500 0.321
Au1 Au 0.106 0.500 0.718
Au2 Au 0.276 0.000 0.052
Au3 Au 0.328 0.000 0.660
Au4 Au 0.442 0.500 0.383
# Relative energy among the computed polymorphs: 21 meV per atom
# Formation energy from the elements: 0.048 eV per atom

***

(7)
# ZrCoNiGe (PBE, relaxed)
data_ZrCoNiGe
_space_group_name_H-M_alt 'F -4 3 m'
_space_group_IT_number 216
_space_group_name_Hall 'F -4 2 3'
_cell_length_a 6.090
_cell_length_b 6.090
_cell_length_c 6.090
_cell_angle_alpha 90.00
_cell_angle_beta 90.00
_cell_angle_gamma 90.00
loop_
_atom_site_label
_atom_site_type_symbol
_atom_site_fract_x
_atom_site_fract_y
_atom_site_fract_z
Zr1 Zr 0.000 0.000 0.000
Co1 Co 0.250 0.250 0.250
Ni1 Ni 0.250 0.250 0.750
Ge1 Ge 0.000 0.000 0.500
# Formation energy from the elements: -0.413 eV per atom

***

(8)
# CdNiSeBr2 (PBE, relaxed)
data_CdNiSeBr2
_space_group_name_H-M_alt 'P 4/m m m'
_space_group_IT_number 123
_space_group_name_Hall '-P 4 2'
_cell_length_a 4.842
_cell_length_b 4.842
_cell_length_c 5.027
_cell_angle_alpha 90.00
_cell_angle_beta 90.00
_cell_angle_gamma 90.00
loop_
_atom_site_label
_atom_site_type_symbol
_atom_site_fract_x
_atom_site_fract_y
_atom_site_fract_z
Cd1 Cd 0.000 0.000 0.000
Ni1 Ni 0.500 0.500 0.500
Se1 Se 0.500 0.500 0.000
Br1 Br 0.000 0.500 0.500
# Formation energy without anion corrections: -0.010 eV/atom
# Relative energy among the computed polymorphs: 0 meV per atom

***

(9)
# TcTeSe2 (PBE, relaxed)
data_TcTeSe2
_space_group_name_H-M_alt 'P 3 m 1'
_space_group_IT_number 156
_space_group_name_Hall 'P 3 -2"'
_cell_length_a 3.2077
_cell_length_b 3.2077
_cell_length_c 10.6459
_cell_angle_alpha 90.00
_cell_angle_beta 90.00
_cell_angle_gamma 120.00
loop_
_atom_site_label
_atom_site_type_symbol
_atom_site_fract_x
_atom_site_fract_y
_atom_site_fract_z
Tc1 Tc 0.0000 0.0000 0.0000
Te1 Te 0.3333 0.6667 0.4721
Se1 Se 0.3333 0.6667 0.8339
Se2 Se 0.6667 0.3333 0.1633
# Formation energy without anion corrections: -0.064 eV/atom

***

(10)
# TlTeI2N (PBE, relaxed)
data_TlTeI2N
_space_group_name_H-M_alt 'P 4/m m m'
_space_group_IT_number 123
_space_group_name_Hall '-P 4 2'
_cell_length_a 6.218
_cell_length_b 6.218
_cell_length_c 5.936
_cell_angle_alpha 90.00
_cell_angle_beta 90.00
_cell_angle_gamma 90.00
loop_
_atom_site_label
_atom_site_type_symbol
_atom_site_fract_x
_atom_site_fract_y
_atom_site_fract_z
Tl1 Tl 0.000 0.000 0.000
Te1 Te 0.000 0.000 0.500
I1 I 0.000 0.500 0.000
N1 N 0.500 0.500 0.500
# Formation energy without anion corrections: 1.193 eV/atom
# Relative energy among the computed polymorphs: 881 meV per atom

***

(11)
# ZnIn3Ag (PBE, relaxed)
data_ZnIn3Ag
_space_group_name_H-M_alt 'P 1 21/m 1'
_space_group_IT_number 11
_space_group_name_Hall '-P 2yb'
_cell_length_a 3.185
_cell_length_b 10.630
_cell_length_c 7.064
_cell_angle_alpha 90.00
_cell_angle_beta 99.52
_cell_angle_gamma 90.00
loop_
_atom_site_label
_atom_site_type_symbol
_atom_site_fract_x
_atom_site_fract_y
_atom_site_fract_z
Zn1 Zn 0.014 0.250 0.233
In1 In 0.283 0.750 0.426
In2 In 0.490 0.514 0.759
Ag1 Ag 0.382 0.250 0.925
# Relative energy among the computed polymorphs: 0 meV per atom
# Formation energy from the elements: 0.072 eV per atom

***

(12)
# NaLaMgCl6 (PBE, relaxed)
data_NaLaMgCl6
_space_group_name_H-M_alt 'P -3 1 c'
_space_group_IT_number 163
_space_group_name_Hall '-P 3 2c'
_cell_length_a 6.8946
_cell_length_b 6.8946
_cell_length_c 12.3761
_cell_angle_alpha 90.00
_cell_angle_beta 90.00
_cell_angle_gamma 120.00
loop_
_atom_site_label
_atom_site_type_symbol
_atom_site_fract_x
_atom_site_fract_y
_atom_site_fract_z
Na1 Na 0.0000 0.0000 0.0000
La1 La 0.3333 0.6667 0.2500
Mg1 Mg 0.3333 0.6667 0.7500
Cl1 Cl 0.0295 0.3677 0.6322
# Formation energy without anion corrections: -2.060 eV/atom

***

(13)
# NaIn2GeIr2 (PBE, relaxed)
data_NaIn2GeIr2
_space_group_name_H-M_alt 'P 4/m m m'
_space_group_IT_number 123
_space_group_name_Hall '-P 4 2'
_cell_length_a 4.727
_cell_length_b 4.727
_cell_length_c 6.081
_cell_angle_alpha 90.00
_cell_angle_beta 90.00
_cell_angle_gamma 90.00
loop_
_atom_site_label
_atom_site_type_symbol
_atom_site_fract_x
_atom_site_fract_y
_atom_site_fract_z
Na1 Na 0.000 0.000 0.000
In1 In 0.500 0.500 0.234
Ge1 Ge 0.000 0.000 0.500
Ir1 Ir 0.000 0.500 0.500
# Formation energy from the elements: 0.029 eV per atom

***

(14)
# Y2Br2O (PBE, relaxed)
data_Y2Br2O
_space_group_name_H-M_alt 'P 4/m m m'
_space_group_IT_number 123
_space_group_name_Hall '-P 4 2'
_cell_length_a 4.167
_cell_length_b 4.167
_cell_length_c 13.592
_cell_angle_alpha 90.00
_cell_angle_beta 90.00
_cell_angle_gamma 90.00
loop_
_atom_site_label
_atom_site_type_symbol
_atom_site_fract_x
_atom_site_fract_y
_atom_site_fract_z
Y1 Y 0.000 0.000 0.151
Br1 Br 0.000 0.000 0.343
O1 O 0.000 0.000 0.000
# Formation energy without anion corrections: -1.183 eV/atom
# Relative energy among the computed polymorphs: 1034 meV per atom

***

(15)
# Zr2MnTlAg (PBE, relaxed)
data_Zr2MnTlAg
_space_group_name_H-M_alt 'P 4/m m m'
_space_group_IT_number 123
_space_group_name_Hall '-P 4 2'
_cell_length_a 4.712
_cell_length_b 4.712
_cell_length_c 5.041
_cell_angle_alpha 90.00
_cell_angle_beta 90.00
_cell_angle_gamma 90.00
loop_
_atom_site_label
_atom_site_type_symbol
_atom_site_fract_x
_atom_site_fract_y
_atom_site_fract_z
Zr1 Zr 0.000 0.500 0.000
Mn1 Mn 0.000 0.000 0.000
Tl1 Tl 0.500 0.500 0.500
Ag1 Ag 0.000 0.000 0.500
# Formation energy from the elements: 0.434 eV per atom

***

(16)
# YZr2Fe (PBE, relaxed)
data_YZr2Fe
_space_group_name_H-M_alt 'I -4 m 2'
_space_group_IT_number 119
_space_group_name_Hall 'I -4 -2'
_cell_length_a 4.471
_cell_length_b 4.471
_cell_length_c 8.765
_cell_angle_alpha 90.00
_cell_angle_beta 90.00
_cell_angle_gamma 90.00
loop_
_atom_site_label
_atom_site_type_symbol
_atom_site_fract_x
_atom_site_fract_y
_atom_site_fract_z
Y1 Y 0.000 0.000 0.000
Zr1 Zr 0.000 0.000 0.500
Zr2 Zr 0.000 0.500 0.750
Fe1 Fe 0.000 0.500 0.250
# Relative energy among the computed polymorphs: 331 meV per atom
# Formation energy from the elements: 0.318 eV per atom

***

(17)
# Ti2ZnN (PBE, relaxed)
data_Ti2ZnN
_space_group_name_H-M_alt 'P n m a'
_space_group_IT_number 62
_space_group_name_Hall '-P 2ac 2n'
_cell_length_a 5.751
_cell_length_b 4.174
_cell_length_c 8.758
_cell_angle_alpha 90.00
_cell_angle_beta 90.00
_cell_angle_gamma 90.00
loop_
_atom_site_label
_atom_site_type_symbol
_atom_site_fract_x
_atom_site_fract_y
_atom_site_fract_z
Ti1 Ti 0.078 0.250 0.218
Ti2 Ti 0.144 0.250 0.557
Zn1 Zn 0.151 0.250 0.885
N1 N 0.128 0.750 0.588
# Formation energy without anion corrections: -0.893 eV/atom
# Relative energy among the computed polymorphs: 169 meV per atom

***

(18)
# EuHo2Zr (PBE, relaxed)
data_EuHo2Zr
_space_group_name_H-M_alt 'P 4/m m m'
_space_group_IT_number 123
_space_group_name_Hall '-P 4 2'
_cell_length_a 3.468
_cell_length_b 3.468
_cell_length_c 10.169
_cell_angle_alpha 90.00
_cell_angle_beta 90.00
_cell_angle_gamma 90.00
loop_
_atom_site_label
_atom_site_type_symbol
_atom_site_fract_x
_atom_site_fract_y
_atom_site_fract_z
Eu1 Eu 0.000 0.000 0.000
Ho1 Ho 0.500 0.500 0.283
Zr1 Zr 0.000 0.000 0.500
# Relative energy among the computed polymorphs: 0 meV per atom
# Formation energy from the elements: 0.094 eV per atom

***

(19)
# NaNbHg (PBE, relaxed)
data_NaNbHg
_space_group_name_H-M_alt 'P 4/n m m'
_space_group_IT_number 129
_cell_length_a 3.460
_cell_length_b 3.460
_cell_length_c 11.993
_cell_angle_alpha 90.00
_cell_angle_beta 90.00
_cell_angle_gamma 90.00
loop_
_space_group_symop_operation_xyz
'x,y,z'
'-x,-y,-z'
'-y+1/2,x,z'
'y+1/2,-x,-z'
'-x+1/2,-y+1/2,z'
'x+1/2,y+1/2,-z'
'y,-x+1/2,z'
'-y,x+1/2,-z'
'x+1/2,-y,-z'
'-x+1/2,y,z'
'-y,-x,-z'
'y,x,z'
'-x,y+1/2,-z'
'x,-y+1/2,z'
'y+1/2,x+1/2,-z'
'-y+1/2,-x+1/2,z'
loop_
_atom_site_label
_atom_site_type_symbol
_atom_site_fract_x
_atom_site_fract_y
_atom_site_fract_z
Na1 Na 0.250 0.250 0.123
Nb1 Nb 0.250 0.250 0.447
Hg1 Hg 0.250 0.250 0.708
# Relative energy among the computed polymorphs: 10 meV per atom
# Formation energy from the elements: 0.111 eV per atom

***

(20)
# ZrTa2HgP (PBE, relaxed)
data_ZrTa2HgP
_space_group_name_H-M_alt 'P 4/m m m'
_space_group_IT_number 123
_space_group_name_Hall '-P 4 2'
_cell_length_a 5.119
_cell_length_b 5.119
_cell_length_c 4.703
_cell_angle_alpha 90.00
_cell_angle_beta 90.00
_cell_angle_gamma 90.00
loop_
_atom_site_label
_atom_site_type_symbol
_atom_site_fract_x
_atom_site_fract_y
_atom_site_fract_z
Zr1 Zr 0.000 0.000 0.000
Ta1 Ta 0.000 0.500 0.500
Hg1 Hg 0.500 0.500 0.500
P1 P 0.500 0.500 0.000
# Formation energy from the elements: 1.808 eV per atom

***

Number 1: density 7.4 g cm⁻³, Fermi-level density of states 6.07 states/eV/f.u.. Number 2: density 10.5 g cm⁻³, Fermi-level density of states 1.75 states/eV/f.u.. Number 3: density 3.2 g cm⁻³, Fermi-level density of states 2.28 states/eV/f.u.. Number 4: density 6.7 g cm⁻³, Fermi-level density of states 3.87 states/eV/f.u.. Number 5: density 3.2 g cm⁻³, Fermi-level density of states 6.09 states/eV/f.u.. Number 6: density 18.9 g cm⁻³, Fermi-level density of states 1.30 states/eV/f.u.. Number 7: density 8.3 g cm⁻³, Fermi-level density of states 4.32 states/eV/f.u.. Number 8: density 5.8 g cm⁻³, Fermi-level density of states 4.30 states/eV/f.u.. Number 9: density 6.7 g cm⁻³, Fermi-level density of states 4.47 states/eV/f.u.. Number 10: density 4.3 g cm⁻³, Fermi-level density of states 4.13 states/eV/f.u.. Number 11: density 7.3 g cm⁻³, Fermi-level density of states 1.30 states/eV/f.u.. Number 12: density 2.6 g cm⁻³, Fermi-level density of states 0.00 states/eV/f.u.. Number 13: density 8.7 g cm⁻³, Fermi-level density of states 4.98 states/eV/f.u.. Number 14: density 2.5 g cm⁻³, Fermi-level density of states 2.40 states/eV/f.u.. Number 15: density 8.2 g cm⁻³, Fermi-level density of states 5.21 states/eV/f.u.. Number 16: density 6.2 g cm⁻³, Fermi-level density of states 6.98 states/eV/f.u.. Number 17: density 5.5 g cm⁻³, Fermi-level density of states 2.20 states/eV/f.u.. Number 18: density 7.8 g cm⁻³, Fermi-level density of states 5.58 states/eV/f.u.. Number 19: density 7.3 g cm⁻³, Fermi-level density of states 1.88 states/eV/f.u.. Number 20: density 9.2 g cm⁻³, Fermi-level density of states 8.68 states/eV/f.u..